Dy7In2Ag2 after structural relaxation. Source: Alexandria via LeMat-Bulk, functional PBE-GGA.

```
Dy7In2Ag2
1.0
4.058 -5.600 0.000
4.058 5.600 0.000
0.000 0.000 7.293
Dy In Ag
7 2 2
direct
0.000 0.000 0.000
0.000 0.500 0.269
0.000 0.500 0.731
0.500 0.000 0.269
0.500 0.000 0.731
0.500 0.500 0.254
0.500 0.500 0.746
0.175 0.175 0.500
0.825 0.825 0.500
0.291 0.709 0.000
0.709 0.291 0.000
```

## Properties
* space group: Cmmm (65)
* size of the total moment: 0.000 μB per formula unit
* ΔE_f: -0.03 eV/atom